1.
YRh2Pb2 (PBE, optimized geometry); electronic total energy = -5.90 eV per atom; energy relative to the elements = -0.19 eV per atom; polymorph energy (0 for the lowest one) = 217 meV/atom; crystal system = tetragonal; Fermi-level density of states = 2.7 states/eV/cell; SG = I4/mmm, No. 139
1.0
4.3766 0.0000 0.0000
0.0000 4.3766 0.0000
2.1883 2.1883 5.9780
Pb Y Rh
2 1 2
Cartesian
2.1883 2.1883 1.4685
4.3766 4.3766 4.5095
0.0000 0.0000 0.0000
4.3766 2.1883 2.9890
2.1883 4.3766 2.9890

2.
ZnFeSbBr2 (PBE, optimized geometry); electronic total energy = -3.02 eV per atom; uncorrected formation energy = 40.9 kJ/mol of atoms; crystal system = tetragonal; Fermi-level density of states = 1.9 states/eV/cell; SG = P4/mmm, No. 123
1.0
5.7564 0.0000 0.0000
0.0000 5.0530 0.0000
0.0000 0.0000 5.7564
Br Zn Sb Fe
2 1 1 1
Cartesian
0.0000 0.0000 2.8782
2.8782 0.0000 0.0000
2.8782 2.5265 2.8782
0.0000 0.0000 0.0000
0.0000 2.5265 0.0000

3.
CsAsHO (PBE, optimized geometry); electronic total energy = -4.17 eV per atom; polymorph energy (0 for the lowest one) = 0 meV/atom; crystal system = monoclinic; Fermi-level density of states = 1.4 states/eV/cell; SG = Pm, No. 6
1.0
4.5306 0.0000 -0.0024
0.0000 3.7166 0.0000
-0.3606 0.0000 5.5465
H O Cs As
1 1 1 1
Cartesian
2.3225 1.8583 3.2489
0.5980 1.8583 5.1475
3.2322 0.0000 0.5228
0.7300 1.8583 3.4047

4.
Ca2IrPt (PBE, optimized geometry); electronic total energy = -5.17 eV per atom; energy relative to the elements = -0.45 eV per atom; crystal system = tetragonal; Fermi-level density of states = 2.0 states/eV/cell; SG = I4/mmm, No. 139
1.0
5.0188 -0.0046 0.0064
0.7804 4.9578 -0.0064
-2.9037 -2.4717 3.2630
Ir Ca Pt
1 2 1
Cartesian
2.5073 0.0001 1.6347
0.0001 0.0001 0.0000
2.8994 2.4765 0.0000
0.3881 2.4813 1.6283

5.
Mg2ZrSe (PBE, optimized geometry); electronic total energy = -3.85 eV per atom; uncorrected formation energy = -3.9 kJ/mol of atoms; crystal system = cubic; Fermi-level density of states = 4.0 states/eV/cell; SG = F-43m, No. 216
1.0
-1.5372 -1.4175 -4.4571
3.2565 -0.6555 -3.6336
0.9999 -4.5402 -1.6199
Mg Zr Se
2 1 1
Cartesian
0.6798 -1.6533 -2.4277
0.0000 0.0000 0.0000
2.0394 -4.9599 -7.2830
1.3596 -3.3066 -4.8553

6.
NpTl2S2Br4 (PBE, optimized geometry); electronic total energy = -4.45 eV per atom; uncorrected formation energy = -79.8 kJ/mol of atoms; crystal system = monoclinic; Fermi-level density of states = 2.3 states/eV/cell; SG = C2/m, No. 12
1.0
7.5878 1.2151 0.8267
3.0198 7.0064 0.2142
3.0198 2.7719 6.4384
S Br Np Tl
2 4 1 2
Cartesian
2.8381 2.3949 1.6294
10.7893 8.5985 5.8499
8.6300 7.2039 2.6507
4.9975 3.7895 4.8286
4.9975 5.8827 1.7519
8.6300 5.1107 5.7274
3.7939 0.6076 0.4134
6.3263 7.7309 5.2597
7.3011 3.2625 2.2197

7.
BaGaI2O (PBE, optimized geometry); electronic total energy = -3.37 eV per atom; uncorrected formation energy = -74.0 kJ/mol of atoms; polymorph energy (0 for the lowest one) = 341 meV/atom; crystal system = tetragonal; Fermi-level density of states = 6.0 states/eV/cell; SG = P4/mmm, No. 123
1.0
-6.3799 -2.4944 0.6108
0.8395 -3.5717 -5.8169
1.6062 -3.5220 2.3943
I O Ba Ga
2 1 1 1
Cartesian
0.4198 -1.7858 -2.9085
-3.1900 -1.2472 0.3054
0.8031 -1.7610 1.1972
0.0000 0.0000 0.0000
-1.9671 -4.7940 -1.4059

8.
CoAuSe2 (PBE, optimized geometry); electronic total energy = -4.25 eV per atom; uncorrected formation energy = 8.1 kJ/mol of atoms; crystal system = tetragonal; Fermi-level density of states = 6.7 states/eV/cell; SG = I4/mcm, No. 140
1.0
7.7824 0.0000 0.0000
0.0000 7.7824 0.0000
3.8912 3.8912 2.6664
Se Au Co
4 2 2
Cartesian
6.4974 2.6062 0.0000
5.1762 6.4974 0.0000
1.2850 5.1762 0.0000
2.6062 1.2850 0.0000
7.7824 7.7824 1.3332
3.8912 3.8912 1.3332
7.7824 3.8912 1.3332
3.8912 7.7824 1.3332

9.
LiLaCr2H (PBE, optimized geometry); electronic total energy = -5.39 eV per atom; crystal system = tetragonal; Fermi-level density of states = 2.8 states/eV/cell; SG = P4/mmm, No. 123
1.0
4.2710 0.0000 0.0000
0.0000 4.4047 0.0000
0.0000 0.0000 4.2710
H Li Cr La
1 1 2 1
Cartesian
0.0000 0.0000 0.0000
0.0000 2.2023 0.0000
2.1355 0.0000 0.0000
0.0000 0.0000 2.1355
2.1355 2.2023 2.1355

10.
TbHo2MgHg4 (PBE, optimized geometry); electronic total energy = -2.53 eV per atom; energy relative to the elements = -0.46 eV per atom; crystal system = trigonal; Fermi-level density of states = 4.2 states/eV/cell; SG = R-3m, No. 166
1.0
5.1464 0.0000 0.0000
2.5732 4.4569 0.0000
2.5732 1.4856 8.5503
Tb Mg Hg Ho
1 1 4 2
Cartesian
0.0000 0.0000 0.0000
5.1464 2.9713 4.2751
5.1464 2.9713 7.5021
5.1464 2.9713 1.0481
2.5732 1.4856 5.3457
7.7197 4.4570 3.2046
2.5732 1.4856 2.2589
7.7197 4.4570 6.2914

11.
Pm2CoSi3 (PBE, optimized geometry); electronic total energy = -6.23 eV per atom; uncorrected formation energy = -72.2 kJ/mol of atoms; crystal system = orthorhombic; Fermi-level density of states = 6.3 states/eV/cell; SG = Fmmm, No. 69
1.0
5.8109 0.2089 0.0000
-0.0170 5.8146 0.0000
-2.8970 -3.0117 6.9771
Pm Si Co
4 6 2
Cartesian
1.4489 1.5063 0.0000
2.9055 0.1044 3.4886
4.3450 4.5172 0.0000
-0.0085 2.9073 3.4886
2.8970 3.0117 4.5781
4.3077 1.6548 1.2016
0.0000 0.0000 2.3990
1.4107 -1.3569 5.7755
1.4863 4.3687 1.2016
-1.4107 1.3569 5.7755
0.0000 0.0000 4.6569
2.8970 3.0117 2.3202

12.
Tl3In4Pb (PBE, optimized geometry); electronic total energy = -2.68 eV per atom; energy relative to the elements = 0.04 eV per atom; polymorph energy (0 for the lowest one) = 8 meV/atom; crystal system = orthorhombic; Fermi-level density of states = 4.1 states/eV/cell; SG = Immm, No. 71
1.0
3.2822 0.0000 0.0000
0.0000 6.5049 0.0000
-1.6411 -3.2525 11.0777
Pb In Tl
1 4 3
Cartesian
1.6411 0.0000 0.0000
1.6411 1.6643 2.7985
0.0000 1.5882 8.2792
0.0000 -1.5882 8.2792
1.6411 4.8407 2.7985
0.0000 0.0000 5.3221
0.0000 3.2525 0.0000
1.6411 3.2525 5.7555

13.
CaCeZnHg (PBE, optimized geometry); electronic total energy = -2.70 eV per atom; energy relative to the elements = -0.32 eV per atom; crystal system = cubic; Fermi-level density of states = 7.9 states/eV/cell; SG = F-43m, No. 216
1.0
5.2831 0.0000 0.0000
2.6415 4.5753 0.0000
2.6415 1.5251 4.3136
Ca Hg Ce Zn
1 1 1 1
Cartesian
2.6415 1.5251 1.0784
5.2831 3.0502 2.1568
7.9246 4.5753 3.2352
0.0000 0.0000 0.0000

14.
YMo2W (PBE, optimized geometry); electronic total energy = -9.91 eV per atom; energy relative to the elements = 0.36 eV per atom; polymorph energy (0 for the lowest one) = 88 meV/atom; crystal system = cubic; Fermi-level density of states = 4.6 states/eV/cell; SG = Fm-3m, No. 225
1.0
0.0000 3.2964 3.2964
3.2964 0.0000 3.2964
3.2964 3.2964 0.0000
Mo Y W
2 1 1
Cartesian
1.6482 1.6482 1.6482
4.9445 4.9445 4.9445
0.0000 0.0000 0.0000
3.2964 3.2964 3.2964

15.
CsRb3B (PBE, optimized geometry); electronic total energy = -0.67 eV per atom; energy relative to the elements = 1.41 eV per atom; polymorph energy (0 for the lowest one) = 656 meV/atom; crystal system = cubic; Fermi-level density of states = 10.9 states/eV/cell; SG = Pm-3m, No. 221
1.0
8.5434 0.0000 0.0000
0.0000 8.5434 0.0000
0.0000 0.0000 8.5434
Cs Rb B
1 3 1
Cartesian
0.0000 0.0000 0.0000
4.2717 0.0000 0.0000
0.0000 0.0000 4.2717
0.0000 4.2717 0.0000
4.2717 4.2717 4.2717

16.
K2Ca2NbS6 (PBE, optimized geometry); electronic total energy = -5.04 eV per atom; uncorrected formation energy = -126.3 kJ/mol of atoms; crystal system = monoclinic; Fermi-level density of states = 10.6 states/eV/cell; SG = C2/m, No. 12
1.0
6.7658 0.0524 0.0514
-3.2985 5.9075 0.0514
-1.2489 -2.1466 7.4442
S K Nb Ca
6 2 1 2
Cartesian
0.8298 4.8862 2.3552
-1.6191 0.6768 5.1918
3.8375 3.1364 2.3552
1.3886 -1.0730 5.1918
1.8137 3.1176 5.2480
0.4047 0.6957 2.2990
-1.5499 4.8902 0.0514
5.0172 1.0697 0.0514
-0.6244 -1.0733 3.7221
-0.5492 2.8715 3.7735
2.7677 0.9418 3.7735

17.
BeGeAu3 (PBE, optimized geometry); electronic total energy = -2.83 eV per atom; energy relative to the elements = 0.81 eV per atom; polymorph energy (0 for the lowest one) = 614 meV/atom; crystal system = cubic; Fermi-level density of states = 1.7 states/eV/cell; SG = Pm-3m, No. 221
1.0
-4.5890 1.4020 0.8310
-1.5123 -4.5888 -0.6091
0.6077 -0.8321 4.7596
Ge Be Au
1 1 3
Cartesian
0.0000 0.0000 0.0000
-2.7468 -2.0094 2.4907
-0.7561 -2.2944 -0.3046
0.3038 -0.4160 2.3798
-2.2945 0.7010 0.4155

18.
NbSi2W (PBE, optimized geometry); electronic total energy = -8.19 eV per atom; uncorrected formation energy = 26.7 kJ/mol of atoms; polymorph energy (0 for the lowest one) = 319 meV/atom; crystal system = tetragonal; Fermi-level density of states = 5.4 states/eV/cell; SG = I-42d, No. 122
1.0
3.8137 0.0000 0.0000
0.0000 3.8137 0.0000
1.9068 1.9068 9.1554
Si W Nb
4 2 2
Cartesian
4.7671 4.8051 6.8665
2.8983 0.9534 2.2888
2.8602 2.8222 6.8665
0.9154 2.8602 2.2888
0.0000 0.0000 0.0000
3.8137 1.9068 4.5777
1.9068 3.8137 4.5777
1.9068 1.9068 0.0000

19.
LaFeCu2Pb (PBE, optimized geometry); electronic total energy = -3.25 eV per atom; energy relative to the elements = 1.81 eV per atom; crystal system = tetragonal; Fermi-level density of states = 4.4 states/eV/cell; SG = P4/mmm, No. 123
1.0
-3.3689 -3.6906 0.9230
2.4633 -3.3572 -4.4332
3.1995 -2.0817 3.3543
Fe Cu Pb La
1 2 1 1
Cartesian
1.1470 -4.5648 -0.0780
-1.6844 -1.8453 0.4615
1.5998 -1.0409 1.6771
1.2316 -1.6786 -2.2166
0.0000 0.0000 0.0000

20.
MgCd8Au6 (PBE, optimized geometry); electronic total energy = -2.13 eV per atom; energy relative to the elements = -0.23 eV per atom; crystal system = trigonal; Fermi-level density of states = 5.4 states/eV/cell; SG = R-3, No. 148
1.0
6.7780 0.0012 3.0041
1.9550 6.4900 3.0041
0.0016 0.0012 7.4139
Cd Au Mg
8 6 1
Cartesian
6.3899 1.3971 7.3406
3.3108 0.7764 7.5420
2.5265 3.5459 8.8153
5.8328 4.3355 8.9631
2.9018 2.1569 4.4591
6.2081 2.9464 4.6069
2.3447 5.0953 6.0816
5.4238 5.7159 5.8802
7.6457 4.0479 6.7622
5.0143 0.3380 5.1244
3.7203 6.1544 8.2978
4.7657 1.7883 9.7293
1.0888 2.4444 6.6600
3.9688 4.7040 3.6929
0.0000 0.0000 0.0000

21.
GdMgCuNi (PBE, optimized geometry); electronic total energy = -6.59 eV per atom; energy relative to the elements = -0.20 eV per atom; crystal system = cubic; Fermi-level density of states = 2.7 states/eV/cell; SG = F-43m, No. 216
1.0
-0.5467 -2.2659 -4.0528
3.6327 -2.1968 -1.9585
0.1282 -4.6724 -0.1017
Ni Gd Cu Mg
1 1 1 1
Cartesian
2.4107 -6.8513 -4.5848
0.0000 0.0000 0.0000
0.8036 -2.2838 -1.5283
1.6071 -4.5675 -3.0565

22.
Mn3GeBi (PBE, optimized geometry); electronic total energy = -6.65 eV per atom; energy relative to the elements = 0.55 eV per atom; polymorph energy (0 for the lowest one) = 0 meV/atom; crystal system = cubic; Fermi-level density of states = 6.8 states/eV/cell; SG = Pm-3m, No. 221
1.0
4.7500 0.0000 0.0000
0.0000 4.7500 0.0000
0.0000 0.0000 4.7500
Mn Bi Ge
3 1 1
Cartesian
2.3750 0.0000 0.0000
0.0000 0.0000 2.3750
0.0000 2.3750 0.0000
2.3750 2.3750 2.3750
0.0000 0.0000 0.0000

23.
Pu2Be4Ge3Ir (PBE, optimized geometry); electronic total energy = -6.96 eV per atom; energy relative to the elements = -0.33 eV per atom; crystal system = tetragonal; Fermi-level density of states = 18.3 states/eV/cell; SG = P-4m2, No. 115
1.0
-0.3346 2.3862 3.1436
-3.9448 -0.1052 -0.3401
-0.2976 -7.7448 5.8471
Pu Be Ge Ir
2 4 3 1
Cartesian
-2.1949 -5.8446 4.2028
-0.2423 -0.7597 3.0461
-2.1397 1.1405 1.4018
-2.0829 -2.9278 2.0007
-0.3544 -3.6765 5.2482
0.0000 0.0000 0.0000
-2.0119 -1.0800 0.6056
-0.4254 -5.5243 6.6432
-0.1488 -3.8724 2.9235
-2.2885 -2.7319 4.3253

24.
La2CuRu (PBE, optimized geometry); electronic total energy = -5.79 eV per atom; energy relative to the elements = 0.02 eV per atom; crystal system = tetragonal; Fermi-level density of states = 3.5 states/eV/cell; SG = I-4m2, No. 119
1.0
-3.2744 -3.3436 3.0759
-1.1244 -4.9090 -2.4494
4.6842 2.9016 1.0007
La Cu Ru
2 1 1
Cartesian
0.6802 -3.0669 -0.5678
0.0000 0.0000 0.0000
-0.3948 -2.2841 2.1949
-2.1994 -4.1263 0.3132

25.
YCo2Au (PBE, optimized geometry); electronic total energy = -5.47 eV per atom; energy relative to the elements = 0.51 eV per atom; polymorph energy (0 for the lowest one) = 723 meV/atom; crystal system = trigonal; Fermi-level density of states = 6.8 states/eV/cell; SG = R-3m, No. 166
1.0
-1.1041 8.3409 0.5489
-3.6100 7.3062 2.1629
-0.8135 7.5820 3.5976
Y Co Au
1 2 1
Cartesian
-1.3819 5.8073 1.5773
-0.0240 0.1010 0.0274
-2.7398 11.5136 3.1272
-4.1458 17.4218 4.7320